1.
First-principles (GGA-PBE) data for a relaxed structure of UAl2Hg, as listed in Alexandria via LeMat-Bulk.

a b c (Å): 4.197 4.484 4.484
angles (deg): 90.00 90.00 90.00
Site moments in Bohr magnetons follow the coordinates.
Sites, in units of the cell vectors:
Al (0.000, 0.500, 0.000)  0.01
Al (0.000, 0.000, 0.500)  0.01
U (0.500, 0.500, 0.500)  2.21
Hg (0.500, 0.000, 0.000)  0.03

Computed properties:
Space-group type: No. 123
Total DFT energy (no corrections), eV per cell: -18.79
Calculated volume, Å³/cell: 84.4
Energy of formation, eV/atom: 0.072

=====

2.
First-principles (GGA-PBE) data for a relaxed structure of PrNdErTm2, as listed in Alexandria via LeMat-Bulk.

a b c (Å): 6.396 6.403 8.943
angles (deg): 110.98 90.00 90.00
Sites, in units of the cell vectors:
Tm (0.500, 0.748, 0.000)
Tm (0.000, 0.748, 0.000)
Tm (0.000, 0.252, 0.000)
Tm (0.500, 0.252, 0.000)
Er (0.750, 0.736, 0.473)
Er (0.250, 0.264, 0.527)
Nd (0.250, 0.844, 0.687)
Nd (0.750, 0.156, 0.313)
Pr (0.750, 0.342, 0.685)
Pr (0.250, 0.658, 0.315)

Computed properties:
Space-group type: No. 63
Total DFT energy (no corrections), eV per cell: -42.63
Calculated volume, Å³/cell: 341.9
Energy of formation, eV/atom: 0.348

=====

3.
First-principles (GGA-PBE) data for a relaxed structure of HoB2H8, as listed in Alexandria via LeMat-Bulk.

a b c (Å): 5.278 4.824 4.824
angles (deg): 48.18 111.66 111.66
Sites, in units of the cell vectors:
H (0.543, 0.839, 0.839)
H (0.826, 0.349, 0.349)
H (0.762, 0.392, 0.876)
H (0.238, 0.124, 0.608)
H (0.457, 0.161, 0.161)
H (0.238, 0.608, 0.124)
H (0.762, 0.876, 0.392)
H (0.174, 0.651, 0.651)
Ho (0.000, 0.000, 0.000)
B (0.703, 0.191, 0.191)
B (0.297, 0.809, 0.809)

Computed properties:
Space-group type: No. 12
Total DFT energy (no corrections), eV per cell: -46.80
Calculated volume, Å³/cell: 83.7
Energy above the most stable polymorph in this dataset, kJ/mol of formula units: 31.4

=====

4.
First-principles (GGA-PBE) data for a relaxed structure of Zr5CoPt, as listed in Alexandria via LeMat-Bulk.

a b c (Å): 5.412 5.412 10.408
angles (deg): 76.75 76.75 79.32
Sites, in units of the cell vectors:
Zr (0.031, 0.969, 0.250)
Zr (0.447, 0.072, 0.366)
Zr (0.969, 0.031, 0.750)
Zr (0.553, 0.928, 0.634)
Zr (0.778, 0.468, 0.452)
Zr (0.928, 0.553, 0.134)
Zr (0.532, 0.222, 0.048)
Zr (0.072, 0.447, 0.866)
Zr (0.222, 0.532, 0.548)
Zr (0.468, 0.778, 0.952)
Co (0.000, 0.000, 0.500)
Co (0.000, 0.000, 0.000)
Pt (0.419, 0.581, 0.250)
Pt (0.581, 0.419, 0.750)

Computed properties:
Space-group type: No. 15
Total DFT energy (no corrections), eV per cell: -114.93
Calculated volume, Å³/cell: 286.0
Energy of formation, eV/atom: -0.226
Energy above the most stable polymorph in this dataset, kJ/mol of formula units: 27.5

=====

5.
First-principles (GGA-PBE) data for a relaxed structure of Nd2Si4Ir5, as listed in Alexandria via LeMat-Bulk.

a b c (Å): 5.653 5.639 7.606
angles (deg): 79.27 68.18 59.92
Sites, in units of the cell vectors:
Ir (0.500, 0.000, 0.000)
Ir (0.500, 0.500, 0.000)
Ir (0.000, 0.500, 0.000)
Ir (0.750, 0.500, 0.500)
Ir (0.250, 0.500, 0.500)
Si (0.213, 0.312, 0.262)
Si (0.475, 0.312, 0.738)
Si (0.525, 0.688, 0.262)
Si (0.787, 0.688, 0.738)
Nd (0.871, 0.000, 0.258)
Nd (0.129, 0.000, 0.742)

Computed properties:
Space-group type: No. 69
Formation energy from raw total energies, meV per atom: -892
Total DFT energy (no corrections), eV per cell: -85.34
Calculated volume, Å³/cell: 194.8

=====

6.
First-principles (GGA-PBE) data for a relaxed structure of KAlRu2, as listed in Alexandria via LeMat-Bulk.

a b c (Å): 2.807 2.807 9.560
angles (deg): 90.00 90.00 114.88
Sites, in units of the cell vectors:
Ru (0.000, 0.000, 0.455)
Ru (0.000, 0.000, 0.045)
K (0.500, 0.500, 0.750)
Al (0.500, 0.500, 0.250)

Computed properties:
Space-group type: No. 65
Total DFT energy (no corrections), eV per cell: -21.66
Calculated volume, Å³/cell: 68.4
Energy of formation, eV/atom: 0.433